Record 1
Entry from Alexandria: a relaxed In3TeCl7 crystal (GGA-PBE).

Properties
Formation energy from raw total energies, eV/atom: -0.96

abc: 7.768 7.768 9.424
angles: 127.10 127.10 59.93
Fractional positions:
In1 0.000 0.000 0.000
In2 0.001 0.478 0.000
In3 0.478 0.001 0.000
Te1 0.294 0.294 0.276
Cl1 0.205 0.205 0.774
Cl2 0.205 0.739 0.775
Cl3 0.234 0.759 0.186
Cl4 0.719 0.719 0.779
Cl5 0.739 0.205 0.775
Cl6 0.759 0.234 0.186
Cl7 0.759 0.759 0.185

Record 2
Entry from Alexandria: a relaxed InTeCl2 crystal (GGA-PBE).

Properties
Formation energy from raw total energies, eV/atom: -0.30
Energy relative to the lowest polymorph listed for this composition, meV/atom: 366

abc: 4.988 4.701 5.037
angles: 90.00 90.40 90.00
Fractional positions:
In1 0.000 0.000 0.000
Te1 0.500 0.000 0.500
Cl1 0.271 0.500 0.271
Cl2 0.729 0.500 0.729

Record 3
Entry from Alexandria: a relaxed In12Te3Cl5 crystal (GGA-PBE).

Properties
Formation energy from raw total energies, eV/atom: -0.30

abc: 16.192 16.192 16.192
angles: 109.47 109.47 109.47
Fractional positions:
In1 0.055 0.221 0.143
In2 0.055 0.334 0.912
In3 0.078 0.721 0.666
In4 0.078 0.857 0.412
In5 0.088 0.643 0.422
In6 0.088 0.945 0.666
In7 0.143 0.055 0.221
In8 0.143 0.588 0.922
In9 0.166 0.221 0.578
In10 0.166 0.445 0.588
In11 0.221 0.143 0.055
In12 0.221 0.578 0.166
In13 0.279 0.334 0.922
In14 0.279 0.445 0.357
In15 0.334 0.912 0.055
In16 0.334 0.922 0.279
In17 0.357 0.279 0.445
In18 0.357 0.578 0.912
In19 0.412 0.078 0.857
In20 0.412 0.834 0.555
In21 0.422 0.088 0.643
In22 0.422 0.834 0.779
In23 0.445 0.357 0.279
In24 0.445 0.588 0.166
In25 0.555 0.412 0.834
In26 0.555 0.643 0.721
In27 0.578 0.166 0.221
In28 0.578 0.912 0.357
In29 0.588 0.166 0.445
In30 0.588 0.922 0.143
In31 0.643 0.422 0.088
In32 0.643 0.721 0.555
In33 0.666 0.078 0.721
In34 0.666 0.088 0.945
In35 0.721 0.555 0.643
In36 0.721 0.666 0.078
In37 0.779 0.422 0.834
In38 0.779 0.857 0.945
In39 0.834 0.555 0.412
In40 0.834 0.779 0.422
In41 0.857 0.412 0.078
In42 0.857 0.945 0.779
In43 0.912 0.055 0.334
In44 0.912 0.357 0.578
In45 0.922 0.143 0.588
In46 0.922 0.279 0.334
In47 0.945 0.666 0.088
In48 0.945 0.779 0.857
Te1 0.125 0.250 0.375
Te2 0.125 0.375 0.750
Te3 0.250 0.375 0.125
Te4 0.250 0.875 0.625
Te5 0.375 0.125 0.250
Te6 0.375 0.750 0.125
Te7 0.625 0.250 0.875
Te8 0.625 0.875 0.750
Te9 0.750 0.125 0.375
Te10 0.750 0.625 0.875
Te11 0.875 0.625 0.250
Te12 0.875 0.750 0.625
Cl1 0.000 0.000 0.000
Cl2 0.000 0.000 0.500
Cl3 0.000 0.500 0.000
Cl4 0.000 0.500 0.500
Cl5 0.125 0.750 0.875
Cl6 0.125 0.875 0.250
Cl7 0.250 0.125 0.875
Cl8 0.250 0.625 0.375
Cl9 0.375 0.250 0.625
Cl10 0.375 0.625 0.750
Cl11 0.500 0.000 0.000
Cl12 0.500 0.000 0.500
Cl13 0.500 0.500 0.000
Cl14 0.500 0.500 0.500
Cl15 0.625 0.375 0.250
Cl16 0.625 0.750 0.375
Cl17 0.750 0.375 0.625
Cl18 0.750 0.875 0.125
Cl19 0.875 0.125 0.750
Cl20 0.875 0.250 0.125

Record 4
Entry from Alexandria: a relaxed TlInTeCl2 crystal (GGA-PBE).

Properties
Formation energy from raw total energies, eV/atom: -0.63

abc: 5.247 5.247 5.804
angles: 90.00 90.00 90.00
Fractional positions:
Tl1 0.000 0.000 0.000
In1 0.500 0.500 0.500
Te1 0.500 0.500 0.000
Cl1 0.000 0.500 0.500
Cl2 0.500 0.000 0.500

Record 5
Entry from Alexandria: a relaxed VInTeCl2 crystal (GGA-PBE).

Properties
Formation energy from raw total energies, eV/atom: -0.61

abc: 4.794 4.794 5.726
angles: 90.00 90.00 90.00
Fractional positions:
V1 0.000 0.000 0.000
In1 0.500 0.500 0.500
Te1 0.000 0.000 0.500
Cl1 0.000 0.500 0.000
Cl2 0.500 0.000 0.000

Record 6
Entry from Alexandria: a relaxed ZrIn2TeCl crystal (GGA-PBE).

Properties
Formation energy from raw total energies, eV/atom: 0.22

abc: 5.594 5.594 4.839
angles: 90.00 90.00 90.00
Fractional positions:
Zr1 0.000 0.000 0.000
In1 0.000 0.500 0.500
In2 0.500 0.000 0.500
Te1 0.500 0.500 0.000
Cl1 0.000 0.000 0.500

Record 7
Entry from Alexandria: a relaxed ThInCl crystal (GGA-PBE).

Properties
Formation energy from raw total energies, eV/atom: -0.70

abc: 3.469 4.962 10.090
angles: 96.82 90.27 110.42
Fractional positions:
Th1 0.000 0.000 0.000
Th2 0.468 0.927 0.323
In1 0.213 0.416 0.521
In2 0.504 0.006 0.677
Cl1 0.268 0.539 0.894
Cl2 0.722 0.441 0.162

Record 8
Entry from Alexandria: a relaxed ThIn3Cl7 crystal (GGA-PBE).

Properties
Formation energy from raw total energies, eV/atom: -1.45

abc: 7.344 7.344 8.752
angles: 116.17 116.17 82.37
Fractional positions:
Th1 0.000 0.000 0.000
In1 0.121 0.696 0.436
In2 0.439 0.439 0.888
In3 0.696 0.121 0.436
Cl1 0.138 0.138 0.825
Cl2 0.310 0.310 0.314
Cl3 0.321 0.808 0.183
Cl4 0.634 0.997 0.713
Cl5 0.800 0.800 0.087
Cl6 0.808 0.321 0.183
Cl7 0.997 0.634 0.713